# 1
PdS2 | PBE | relaxed

Output
The value obtained for the uncorrected formation energy is -0.27 eV/atom. Its space group is Pbca (61).

a = 5.500 Å, b = 5.590 Å, c = 8.354 Å
α = 90.00°, β = 90.00°, γ = 90.00°
Sites, in units of the cell vectors:
Pd1 0.000 0.000 0.000
Pd2 0.000 0.500 0.500
Pd3 0.500 0.000 0.500
Pd4 0.500 0.500 0.000
S1 0.104 0.110 0.425
S2 0.104 0.390 0.925
S3 0.396 0.610 0.425
S4 0.396 0.890 0.925
S5 0.604 0.110 0.075
S6 0.604 0.390 0.575
S7 0.896 0.610 0.075
S8 0.896 0.890 0.575

# 2
BaV2ZnMo | PBE | relaxed

Output
The value obtained for the formation energy is 0.75 eV/atom. Its space group is P4/mmm (123).

a = 4.741 Å, b = 4.741 Å, c = 5.307 Å
α = 90.00°, β = 90.00°, γ = 90.00°
Sites, in units of the cell vectors:
Ba1 0.000 0.000 0.000
V1 0.000 0.500 0.500
V2 0.500 0.000 0.500
Zn1 0.500 0.500 0.000
Mo1 0.500 0.500 0.500

# 3
CaTa2TlAg | PBE | relaxed

Output
The value obtained for the formation energy is 1.63 eV/atom. Its space group is P4/mmm (123).

a = 5.276 Å, b = 5.276 Å, c = 5.230 Å
α = 90.00°, β = 90.00°, γ = 90.00°
Sites, in units of the cell vectors:
Ca1 0.000 0.000 0.000
Ta1 0.000 0.500 0.500
Ta2 0.500 0.000 0.500
Tl1 0.500 0.500 0.500
Ag1 0.500 0.500 0.000

# 4
PSe3 | PBE | relaxed

Output
The value obtained for the uncorrected formation energy is 0.40 eV/atom. The energy above the most stable polymorph in this dataset is 168 meV per atom. Its space group is I4/mmm (139).

a = 9.005 Å, b = 9.005 Å, c = 9.005 Å
α = 156.71°, β = 156.71°, γ = 33.17°
Sites, in units of the cell vectors:
P1 0.000 0.000 0.000
Se1 0.250 0.750 0.500
Se2 0.500 0.500 0.000
Se3 0.750 0.250 0.500

# 5
TmBiPd6 | PBE | relaxed

Output
The value obtained for the formation energy is -0.48 eV/atom. The energy above the most stable polymorph in this dataset is 111 meV per atom. Its space group is P-1 (2).

a = 5.278 Å, b = 5.279 Å, c = 5.296 Å
α = 95.81°, β = 95.76°, γ = 95.99°
Sites, in units of the cell vectors:
Tm1 0.000 0.000 0.000
Bi1 0.500 0.500 0.500
Pd1 0.045 0.456 0.751
Pd2 0.249 0.954 0.545
Pd3 0.455 0.751 0.047
Pd4 0.545 0.249 0.953
Pd5 0.751 0.046 0.455
Pd6 0.955 0.544 0.249

# 6
NaGe12Rh4 | PBE | relaxed

Output
The value obtained for the formation energy is -0.13 eV/atom. Its space group is Im-3 (204).

a = 7.520 Å, b = 7.520 Å, c = 7.520 Å
α = 109.47°, β = 109.47°, γ = 109.47°
Sites, in units of the cell vectors:
Na1 0.000 0.000 0.000
Ge1 0.154 0.504 0.351
Ge2 0.154 0.803 0.649
Ge3 0.197 0.351 0.846
Ge4 0.351 0.154 0.504
Ge5 0.351 0.846 0.197
Ge6 0.496 0.649 0.846
Ge7 0.504 0.351 0.154
Ge8 0.649 0.154 0.803
Ge9 0.649 0.846 0.496
Ge10 0.803 0.649 0.154
Ge11 0.846 0.197 0.351
Ge12 0.846 0.496 0.649
Rh1 0.000 0.000 0.500
Rh2 0.000 0.500 0.000
Rh3 0.500 0.000 0.000
Rh4 0.500 0.500 0.500

| no. | D(E_F) (states/eV/cell) | calculated total energy (eV/atom) |
| --- | --- | --- |
| 1 | 0.00 | -4.7483 |
| 2 | 6.28 | -5.7015 |
| 3 | 5.27 | -4.5524 |
| 4 | 2.58 | -3.5705 |
| 5 | 3.81 | -5.4149 |
| 6 | 11.26 | -5.1919 |